Arrangement 1

GGA-PBE NbCoCl2, optimized geometry; symmetry = I-42d, No. 122
1.0
-2.770 2.770 4.788
2.770 -2.770 4.788
2.770 2.770 -4.788
Nb Co Cl
2 2 4
Direct
0.000 0.000 0.000 Nb
0.750 0.250 0.500 Nb
0.250 0.750 0.500 Co
0.500 0.500 0.000 Co
0.162 0.625 0.037 Cl
0.375 0.412 0.537 Cl
0.588 0.125 0.963 Cl
0.875 0.838 0.463 Cl

=====

Arrangement 2

GGA-PBE NbCoCl2, optimized geometry; symmetry = Fm-3m, No. 225
1.0
0.000 3.085 3.085
3.085 0.000 3.085
3.085 3.085 0.000
Nb Co Cl
1 1 2
Direct
0.000 0.000 0.000 Nb
0.500 0.500 0.500 Co
0.250 0.250 0.250 Cl
0.750 0.750 0.750 Cl

=====

Arrangement 3

GGA-PBE NbCoCl2, optimized geometry; symmetry = R-3m, No. 166
1.0
1.563 0.903 7.986
-1.563 0.903 7.986
0.000 -1.805 7.986
Nb Co Cl
1 1 2
Direct
0.000 0.000 0.000 Nb
0.500 0.500 0.500 Co
0.409 0.409 0.409 Cl
0.591 0.591 0.591 Cl

=====

Energy comparison, zero being the most stable, in meV per atom: arrangement 1 437; arrangement 2 487; arrangement 3 0.

=====

Arrangement 1

GGA-PBE NbCoCl3, optimized geometry; symmetry = Pm-3m, No. 221
1.0
4.644 0.000 0.000
0.000 4.644 0.000
0.000 0.000 4.644
Nb Co Cl
1 1 3
Direct
0.000 0.000 0.000 Nb
0.500 0.500 0.500 Co
0.000 0.500 0.500 Cl
0.500 0.000 0.500 Cl
0.500 0.500 0.000 Cl

=====

Arrangement 2

GGA-PBE NbCoCl3, optimized geometry; symmetry = Pm-3m, No. 221
1.0
5.026 0.000 0.000
0.000 5.026 0.000
0.000 0.000 5.026
Nb Co Cl
1 1 3
Direct
0.000 0.000 0.000 Nb
0.500 0.500 0.500 Co
0.000 0.000 0.500 Cl
0.000 0.500 0.000 Cl
0.500 0.000 0.000 Cl

=====

Energy comparison, zero being the most stable, in meV per atom: arrangement 1 100; arrangement 2 0.

=====

Arrangement 1

GGA-PBE NbCoP2Cl, optimized geometry; symmetry = P4/mmm, No. 123
1.0
4.576 0.000 0.000
0.000 4.576 0.000
0.000 0.000 3.916
Nb Co P Cl
1 1 2 1
Direct
0.000 0.000 0.000 Nb
0.500 0.500 0.000 Co
0.000 0.500 0.500 P
0.500 0.000 0.500 P
0.500 0.500 0.500 Cl

=====

Arrangement 2

GGA-PBE NbCoP2Cl, optimized geometry; symmetry = P4/mmm, No. 123
1.0
4.853 0.000 0.000
0.000 4.853 0.000
0.000 0.000 4.810
Nb Co P Cl
1 1 2 1
Direct
0.000 0.000 0.000 Nb
0.500 0.500 0.500 Co
0.000 0.500 0.000 P
0.500 0.000 0.000 P
0.000 0.000 0.500 Cl

=====

Energy comparison, zero being the most stable, in meV per atom: arrangement 1 450; arrangement 2 0.

=====

Arrangement 1

GGA-PBE NbCoS2Cl, optimized geometry; symmetry = P4/mmm, No. 123
1.0
4.831 0.000 0.000
0.000 4.831 0.000
0.000 0.000 4.796
Nb Co S Cl
1 1 2 1
Direct
0.000 0.000 0.000 Nb
0.500 0.500 0.500 Co
0.000 0.500 0.000 S
0.500 0.000 0.000 S
0.000 0.000 0.500 Cl

=====

Arrangement 2

GGA-PBE NbCoS2Cl, optimized geometry; symmetry = P4/mmm, No. 123
1.0
4.445 0.000 0.000
0.000 4.445 0.000
0.000 0.000 4.371
Nb Co S Cl
1 1 2 1
Direct
0.000 0.000 0.000 Nb
0.500 0.500 0.500 Co
0.000 0.500 0.500 S
0.500 0.000 0.500 S
0.500 0.500 0.000 Cl

=====

Energy comparison, zero being the most stable, in meV per atom: arrangement 1 0; arrangement 2 93.